VASP calculation (PBE-GGA) on a relaxed ScRe2Pt crystal.

Calculated values
* space-group type: No. 123
* total moment: 0.00 Bohr magnetons per cell
* total DFT energy (no corrections): -9.309 eV per atom
* ΔH_f (0 K): 0.01 eV per atom
* excess energy over the best structure of this formula in the dataset: 26.1 kJ per mole of atoms

Cell and atoms, written as CIF:
```
data_ScRe2Pt
_cell_length_a 2.745
_cell_length_b 2.745
_cell_length_c 8.590
_cell_angle_alpha 90.00
_cell_angle_beta 90.00
_cell_angle_gamma 90.00
_symmetry_space_group_name_H-M 'P 1'
_symmetry_Int_Tables_number 1
loop_
_symmetry_equiv_pos_as_xyz
'x,y,z'
loop_
_atom_site_label
_atom_site_fract_x
_atom_site_fract_y
_atom_site_fract_z
Sc1 0.500 0.500 0.250
Re1 0.000 0.000 0.515
Re2 0.000 0.000 0.985
Pt1 0.500 0.500 0.750
```